{
  "formula": "Tb11Zn9Cu4",
  "functional": "PBE-GGA",
  "state": "relaxed",
  "lattice": [[6.966, -10.459, 0.000], [6.966, 10.459, 0.000], [0.000, 0.000, 3.608]],
  "species": ["Tb", "Tb", "Tb", "Tb", "Tb", "Tb", "Tb", "Tb", "Tb", "Tb", "Tb", "Zn", "Zn", "Zn", "Zn", "Zn", "Zn", "Zn", "Zn", "Zn", "Cu", "Cu", "Cu", "Cu"],
  "fractional_positions": [[0.000, 0.000, 0.000], [0.071, 0.414, 0.000], [0.167, 0.833, 0.000], [0.287, 0.287, 0.000], [0.364, 0.636, 0.000], [0.414, 0.071, 0.000], [0.586, 0.929, 0.000], [0.636, 0.364, 0.000], [0.713, 0.713, 0.000], [0.833, 0.167, 0.000], [0.929, 0.586, 0.000], [0.067, 0.214, 0.500], [0.160, 0.632, 0.500], [0.214, 0.067, 0.500], [0.368, 0.840, 0.500], [0.500, 0.500, 0.500], [0.632, 0.160, 0.500], [0.786, 0.933, 0.500], [0.840, 0.368, 0.500], [0.933, 0.786, 0.500], [0.255, 0.449, 0.500], [0.449, 0.255, 0.500], [0.551, 0.745, 0.500], [0.745, 0.551, 0.500]],
  "space_group": "Cmmm, No. 65",
  "e_form_mev_per_atom": -293,
  "total_energy_ev_per_atom": -3.58
}

---

{
  "formula": "YTmSiIr",
  "functional": "PBE-GGA",
  "state": "relaxed",
  "lattice": [[3.866, 0.000, 0.000], [0.000, 4.198, 0.000], [0.000, 0.000, 10.670]],
  "species": ["Y", "Y", "Tm", "Tm", "Si", "Si", "Ir", "Ir"],
  "fractional_positions": [[0.000, 0.000, 0.000], [0.000, 0.500, 0.500], [0.500, 0.000, 0.283], [0.500, 0.500, 0.783], [0.500, 0.000, 0.579], [0.500, 0.500, 0.079], [0.000, 0.000, 0.723], [0.000, 0.500, 0.223]],
  "space_group": "Amm2, No. 38",
  "total_energy_ev_per_atom": -7.19,
  "e_form_raw_ev_per_atom": -0.888
}

---

{
  "formula": "Co3Br",
  "functional": "PBE-GGA",
  "state": "relaxed",
  "lattice": [[3.904, 0.000, 0.000], [0.000, 4.861, 0.000], [0.000, 0.000, 8.903]],
  "species": ["Co", "Co", "Co", "Co", "Co", "Co", "Br", "Br"],
  "fractional_positions": [[0.250, 0.007, 0.071], [0.250, 0.250, 0.841], [0.250, 0.493, 0.071], [0.750, 0.507, 0.929], [0.750, 0.750, 0.159], [0.750, 0.993, 0.929], [0.250, 0.750, 0.338], [0.750, 0.250, 0.662]],
  "space_group": "Pmmn, No. 59",
  "polymorph_energy_ev_per_fu": 0.000,
  "total_energy_ev_per_atom": -5.43,
  "e_form_raw_ev_per_atom": 0.314
}

---

{
  "formula": "HfZrHg2",
  "functional": "PBE-GGA",
  "state": "relaxed",
  "lattice": [[7.007, 0.000, 0.000], [0.000, 7.007, 0.000], [0.000, 0.000, 7.007]],
  "species": ["Hf", "Hf", "Hf", "Hf", "Zr", "Zr", "Zr", "Zr", "Hg", "Hg", "Hg", "Hg", "Hg", "Hg", "Hg", "Hg"],
  "fractional_positions": [[0.000, 0.000, 0.000], [0.000, 0.500, 0.500], [0.500, 0.000, 0.500], [0.500, 0.500, 0.000], [0.000, 0.000, 0.500], [0.000, 0.500, 0.000], [0.500, 0.000, 0.000], [0.500, 0.500, 0.500], [0.250, 0.250, 0.250], [0.250, 0.250, 0.750], [0.250, 0.750, 0.250], [0.250, 0.750, 0.750], [0.750, 0.250, 0.250], [0.750, 0.250, 0.750], [0.750, 0.750, 0.250], [0.750, 0.750, 0.750]],
  "space_group": "Fm-3m, No. 225",
  "polymorph_energy_ev_per_fu": 0.153,
  "e_form_mev_per_atom": -70,
  "total_energy_ev_per_atom": -4.85
}

---

{
  "formula": "AlBH2",
  "functional": "PBE-GGA",
  "state": "relaxed",
  "lattice": [[4.735, 0.000, 0.000], [0.000, 4.735, 0.000], [0.000, 0.000, 4.735]],
  "species": ["Al", "Al", "Al", "Al", "B", "B", "B", "B", "H", "H", "H", "H", "H", "H", "H", "H"],
  "fractional_positions": [[0.000, 0.000, 0.000], [0.000, 0.500, 0.500], [0.500, 0.000, 0.500], [0.500, 0.500, 0.000], [0.000, 0.000, 0.500], [0.000, 0.500, 0.000], [0.500, 0.000, 0.000], [0.500, 0.500, 0.500], [0.250, 0.250, 0.250], [0.250, 0.250, 0.750], [0.250, 0.750, 0.250], [0.250, 0.750, 0.750], [0.750, 0.250, 0.250], [0.750, 0.250, 0.750], [0.750, 0.750, 0.250], [0.750, 0.750, 0.750]],
  "space_group": "Fm-3m, No. 225",
  "polymorph_energy_ev_per_fu": 3.441,
  "total_energy_ev_per_atom": -3.36
}